Entry 1:
Computed, not measured: a geometry-optimized OsSeBr2 structure at the PBE-GGA level of DFT.

a = 3.6665 Å, b = 6.5425 Å, c = 6.7956 Å
α = 43.62°, β = 90.00°, γ = 90.00°
Fractional positions:
Br: 0.0000 0.9696 0.9703
Os: 0.0000 0.5449 0.5027
Se: 0.5000 0.6402 0.6437
Br: 0.5000 0.3453 0.3833

Results
Raw formation energy   0.3 eV/f.u.
SG   Pm (6)
ΔE to the lowest computed polymorph   5 kJ/mol of formula units
VASP energy   -4.4310 eV per atom
M_tot   0.0 Bohr magnetons per cell

***

Entry 2:
Computed, not measured: a geometry-optimized OsSe2Br structure at the PBE-GGA level of DFT.

a = 3.8398 Å, b = 4.4756 Å, c = 7.0781 Å
α = 103.73°, β = 90.00°, γ = 90.00°
Fractional positions:
Se: 0.0000 0.8888 0.0702
Se: 0.5000 0.2908 0.9917
Br: 0.0000 0.6121 0.5938
Os: 0.5000 0.7083 0.8443

Results
Raw formation energy   0.6 eV/f.u.
SG   Pm (6)
ΔE to the lowest computed polymorph   43 kJ/mol of formula units
VASP energy   -4.8237 eV per atom
M_tot   0.0 Bohr magnetons per cell

***

Entry 3:
Computed, not measured: a geometry-optimized OsSeBr structure at the PBE-GGA level of DFT.

a = 3.7411 Å, b = 3.7411 Å, c = 5.9451 Å
α = 90.00°, β = 90.00°, γ = 120.00°
Fractional positions:
Se: 0.3333 0.6667 0.5455
Os: 0.6667 0.3333 0.3602
Br: 0.0000 0.0000 0.0943

Results
Raw formation energy   0.5 eV/f.u.
SG   P3m1 (156)
VASP energy   -5.3060 eV per atom
M_tot   0.0 Bohr magnetons per cell

***

Entry 4:
Computed, not measured: a geometry-optimized OsSeBr2 structure at the PBE-GGA level of DFT.

a = 4.9876 Å, b = 4.9876 Å, c = 3.1214 Å
α = 90.00°, β = 90.00°, γ = 90.00°
Site moments in Bohr magnetons follow the coordinates.
Fractional positions:
Br: 0.5000 0.5000 0.0000  0.01
Se: 0.0000 0.5000 0.5000  0.06
Os: 0.5000 0.0000 0.5000  0.49
Br: 0.0000 0.0000 0.0000  0.01

Results
Raw formation energy   6.0 eV/f.u.
SG   P4/mmm (123)
ΔE to the lowest computed polymorph   554 kJ/mol of formula units
VASP energy   -3.0095 eV per atom
M_tot   0.6 Bohr magnetons per cell

***

Entry 5:
Computed, not measured: a geometry-optimized Os2SeBr structure at the PBE-GGA level of DFT.

a = 3.7888 Å, b = 3.7888 Å, c = 9.1483 Å
α = 97.51°, β = 97.51°, γ = 44.30°
Fractional positions:
Os: 0.1921 0.1921 0.2209
Se: 0.5193 0.5193 0.4094
Br: 0.8964 0.8964 0.8032
Os: 0.8922 0.8922 0.0665

Results
Raw formation energy   1.7 eV/f.u.
SG   Cm (8)
ΔE to the lowest computed polymorph   10 kJ/mol of formula units
VASP energy   -6.4873 eV per atom
M_tot   0.0 Bohr magnetons per cell

***

Entry 6:
Computed, not measured: a geometry-optimized OsSe2Br structure at the PBE-GGA level of DFT.

a = 3.0227 Å, b = 3.0227 Å, c = 9.8151 Å
α = 90.00°, β = 90.00°, γ = 90.00°
Fractional positions:
Se: 0.0000 0.0000 0.5890
Br: 0.5000 0.5000 0.2500
Os: 0.5000 0.5000 0.7500
Se: 0.0000 0.0000 0.9110

Results
Raw formation energy   1.1 eV/f.u.
SG   P4/mmm (123)
ΔE to the lowest computed polymorph   97 kJ/mol of formula units
VASP energy   -4.6817 eV per atom
M_tot   0.0 Bohr magnetons per cell

***

Entry 7:
Computed, not measured: a geometry-optimized Os2SeBr structure at the PBE-GGA level of DFT.

a = 3.1494 Å, b = 3.1494 Å, c = 6.6577 Å
α = 90.00°, β = 90.00°, γ = 90.00°
Fractional positions:
Os: 0.0000 0.0000 0.0387
Os: 0.0000 0.0000 0.4613
Se: 0.5000 0.5000 0.2500
Br: 0.5000 0.5000 0.7500

Results
Raw formation energy   5.1 eV/f.u.
SG   P4/mmm (123)
ΔE to the lowest computed polymorph   340 kJ/mol of formula units
VASP energy   -5.6308 eV per atom
M_tot   0.0 Bohr magnetons per cell

***

Entry 8:
Computed, not measured: a geometry-optimized OsSeBr2 structure at the PBE-GGA level of DFT.

a = 6.5973 Å, b = 6.5973 Å, c = 6.5973 Å
α = 151.88°, β = 134.30°, γ = 54.52°
Fractional positions:
Os: 0.5112 0.5112 0.0000
Se: 0.6606 0.1606 0.5000
Br: 0.3248 0.8248 0.5000
Br: 0.0034 0.0034 0.0000

Results
Raw formation energy   1.8 eV/f.u.
SG   Imm2 (44)
ΔE to the lowest computed polymorph   147 kJ/mol of formula units
VASP energy   -4.0622 eV per atom
M_tot   0.0 Bohr magnetons per cell

***

Entry 9:
Computed, not measured: a geometry-optimized OsSeBr2 structure at the PBE-GGA level of DFT.

a = 3.0589 Å, b = 3.0589 Å, c = 10.3954 Å
α = 90.00°, β = 90.00°, γ = 90.00°
Fractional positions:
Br: 0.0000 0.0000 0.9773
Br: 0.5000 0.5000 0.3375
Os: 0.0000 0.0000 0.5275
Se: 0.5000 0.5000 0.6577

Results
Raw formation energy   1.7 eV/f.u.
SG   P4mm (99)
ΔE to the lowest computed polymorph   138 kJ/mol of formula units
VASP energy   -4.0852 eV per atom
M_tot   0.0 Bohr magnetons per cell

***

Entry 10:
Computed, not measured: a geometry-optimized OsSeBr structure at the PBE-GGA level of DFT.

a = 8.2950 Å, b = 7.7056 Å, c = 3.8534 Å
α = 84.77°, β = 67.68°, γ = 27.56°
Fractional positions:
Os: 0.6749 0.6749 0.3251
Br: 0.0410 0.0410 0.9590
Se: 0.2840 0.2840 0.7160

Results
Raw formation energy   1.8 eV/f.u.
SG   Fmm2 (42)
VASP energy   -4.8512 eV per atom
M_tot   0.0 Bohr magnetons per cell

***

Entry 11:
Computed, not measured: a geometry-optimized Os2SeBr structure at the PBE-GGA level of DFT.

a = 4.6040 Å, b = 4.6040 Å, c = 4.6040 Å
α = 121.46°, β = 121.46°, γ = 87.49°
Fractional positions:
Os: 0.2500 0.7500 0.5000
Br: 0.7500 0.2500 0.5000
Se: 0.5000 0.5000 0.0000
Os: 0.0000 0.0000 0.0000

Results
Raw formation energy   5.9 eV/f.u.
SG   I-4m2 (119)
ΔE to the lowest computed polymorph   417 kJ/mol of formula units
VASP energy   -5.4329 eV per atom
M_tot   0.0 Bohr magnetons per cell

***

Entry 12:
Computed, not measured: a geometry-optimized OsSeBr2 structure at the PBE-GGA level of DFT.

a = 12.3056 Å, b = 12.3056 Å, c = 12.3056 Å
α = 13.77°, β = 13.77°, γ = 13.77°
Site moments in Bohr magnetons follow the coordinates.
Fractional positions:
Br: 0.9349 0.9349 0.9349  0.00
Se: 0.5000 0.5000 0.5000  0.10
Br: 0.0651 0.0651 0.0651  0.00
Os: 0.0000 0.0000 0.0000  0.00

Results
Raw formation energy   2.5 eV/f.u.
SG   R-3m (166)
ΔE to the lowest computed polymorph   217 kJ/mol of formula units
VASP energy   -3.8809 eV per atom
M_tot   0.2 Bohr magnetons per cell

***

Entry 13:
Computed, not measured: a geometry-optimized Os3SeBr structure at the PBE-GGA level of DFT.

a = 4.6479 Å, b = 4.6479 Å, c = 4.6479 Å
α = 90.00°, β = 90.00°, γ = 90.00°
Site moments in Bohr magnetons follow the coordinates.
Fractional positions:
Br: 0.5000 0.5000 0.5000  0.22
Os: 0.0000 0.5000 0.0000  1.02
Se: 0.0000 0.0000 0.0000  -0.03
Os: 0.0000 0.0000 0.5000  0.92
Os: 0.5000 0.0000 0.0000  0.90

Results
Raw formation energy   11.1 eV/f.u.
SG   Pm-3m (221)
ΔE to the lowest computed polymorph   0 kJ/mol of formula units
VASP energy   -5.5541 eV per atom
M_tot   3.2 Bohr magnetons per cell

***

Entry 14:
Computed, not measured: a geometry-optimized OsSeBr2 structure at the PBE-GGA level of DFT.

a = 4.2531 Å, b = 5.4247 Å, c = 4.2504 Å
α = 72.68°, β = 76.12°, γ = 107.34°
Fractional positions:
Br: 0.0000 0.0000 0.0000
Se: 0.5000 0.5000 0.0000
Os: 0.0000 0.5000 0.5000
Br: 0.5000 0.0000 0.5000

Results
Raw formation energy   4.9 eV/f.u.
SG   Fmmm (69)
ΔE to the lowest computed polymorph   446 kJ/mol of formula units
VASP energy   -3.2886 eV per atom
M_tot   0.0 Bohr magnetons per cell

***

Entry 15:
Computed, not measured: a geometry-optimized Os2SeBr structure at the PBE-GGA level of DFT.

a = 3.1187 Å, b = 3.1187 Å, c = 8.5764 Å
α = 90.00°, β = 90.00°, γ = 123.79°
Fractional positions:
Os: 0.0000 0.0000 0.0209
Os: 0.0000 0.0000 0.4791
Br: 0.5000 0.5000 0.7500
Se: 0.5000 0.5000 0.2500

Results
Raw formation energy   5.1 eV/f.u.
SG   Cmmm (65)
ΔE to the lowest computed polymorph   344 kJ/mol of formula units
VASP energy   -5.6221 eV per atom
M_tot   0.0 Bohr magnetons per cell

***

Entry 16:
Computed, not measured: a geometry-optimized OsSeBr2 structure at the PBE-GGA level of DFT.

a = 9.5985 Å, b = 9.5985 Å, c = 7.1826 Å
α = 48.07°, β = 48.07°, γ = 90.00°
Site moments in Bohr magnetons follow the coordinates.
Fractional positions:
Se: 0.2500 0.7500 0.5000  0.01
Se: 0.5000 0.5000 0.0000  0.01
Br: 0.8750 0.0256 0.7500  0.02
Br: 0.9744 0.6250 0.2500  0.02
Br: 0.3750 0.2244 0.7500  0.02
Os: 0.7500 0.2500 0.5000  0.23
Os: 0.0000 0.0000 0.0000  0.23
Br: 0.7756 0.1250 0.2500  0.02

Results
Raw formation energy   1.7 eV/f.u.
SG   I-42d (122)
ΔE to the lowest computed polymorph   137 kJ/mol of formula units
VASP energy   -4.0896 eV per atom
M_tot   0.6 Bohr magnetons per cell

***

Entry 17:
Computed, not measured: a geometry-optimized Os2SeBr structure at the PBE-GGA level of DFT.

a = 5.3228 Å, b = 5.3228 Å, c = 5.3228 Å
α = 148.35°, β = 118.14°, γ = 71.16°
Fractional positions:
Os: 0.9840 0.9840 0.0000
Os: 0.5160 0.5160 0.0000
Br: 0.2500 0.7500 0.5000
Se: 0.7500 0.2500 0.5000

Results
Raw formation energy   5.2 eV/f.u.
SG   Immm (71)
ΔE to the lowest computed polymorph   355 kJ/mol of formula units
VASP energy   -5.5924 eV per atom
M_tot   0.0 Bohr magnetons per cell

***

Entry 18:
Computed, not measured: a geometry-optimized OsSeBr2 structure at the PBE-GGA level of DFT.

a = 4.0166 Å, b = 4.0166 Å, c = 9.9619 Å
α = 90.00°, β = 90.00°, γ = 133.44°
Fractional positions:
Br: 0.0000 0.0000 0.9887
Se: 0.5000 0.5000 0.6846
Br: 0.5000 0.5000 0.3134
Os: 0.0000 0.0000 0.5134

Results
Raw formation energy   2.3 eV/f.u.
SG   Cmm2 (35)
ΔE to the lowest computed polymorph   191 kJ/mol of formula units
VASP energy   -3.9484 eV per atom
M_tot   0.0 Bohr magnetons per cell

***

Entry 19:
Computed, not measured: a geometry-optimized OsSe2Br structure at the PBE-GGA level of DFT.

a = 4.6756 Å, b = 4.6756 Å, c = 4.6756 Å
α = 60.00°, β = 60.00°, γ = 60.00°
Site moments in Bohr magnetons follow the coordinates.
Fractional positions:
Se: 0.7500 0.7500 0.7500  -0.01
Br: 0.0000 0.0000 0.0000  0.03
Se: 0.2500 0.2500 0.2500  -0.01
Os: 0.5000 0.5000 0.5000  0.12

Results
Raw formation energy   4.1 eV/f.u.
SG   Fm-3m (225)
ΔE to the lowest computed polymorph   382 kJ/mol of formula units
VASP energy   -3.9443 eV per atom
M_tot   0.1 Bohr magnetons per cell

***

Entry 20:
Computed, not measured: a geometry-optimized OsSe2Br structure at the PBE-GGA level of DFT.

a = 12.7427 Å, b = 12.7427 Å, c = 12.7427 Å
α = 13.06°, β = 13.06°, γ = 13.06°
Fractional positions:
Se: 0.0631 0.0631 0.0631
Br: 0.5000 0.5000 0.5000
Os: 0.0000 0.0000 0.0000
Se: 0.9369 0.9369 0.9369

Results
Raw formation energy   1.8 eV/f.u.
SG   R-3m (166)
ΔE to the lowest computed polymorph   165 kJ/mol of formula units
VASP energy   -4.5069 eV per atom
M_tot   0.0 Bohr magnetons per cell